Here is a relaxed ZrFeSF2 crystal from the Alexandria database. Energies are from GGA+U.

```
ZrFeSF2
1.0
-1.238 1.440 -3.269
3.028 -5.303 -3.482
-3.179 -2.021 0.314
S Fe Zr F
1 1 1 2
Cartesian
-0.695 -2.942 -3.219 S
0.000 0.000 0.000 Fe
1.514 -2.652 -1.741 Zr
-1.590 -1.011 0.157 F
-0.619 0.720 -1.635 F
```

For the density of states at the Fermi level, the calculation gives 0.358 states/eV/atom. Its volume is 20.095 A^3/atom. Its total energy is -5.91 eV per atom.